(1)
DFT (meta-GGA SCAN) results for SiNiPt2 at its PBEsol-relaxed geometry.

magnetization	0.000	μB per formula unit
final energy	-168.45	eV for the cell shown
formation energy without anion corrections	-468	meV/atom
calculated density	15.03	g/cm3
SG	Immm

Unit cell a=4.4701 b=4.4701 c=4.4701 alpha=131.39 beta=126.10 gamma=75.50
With the nearest neighbours (Å) after each atom.
Sites, in units of the cell vectors:
Si (0.0000, 0.0000, 0.0000)  4 Pt 2.45, 4 Ni 2.74
Ni (0.5000, 0.5000, 0.0000)  8 Pt 2.59-2.66, 4 Si 2.74
Pt (0.2287, 0.7287, 0.5000)  2 Si 2.45, 4 Ni 2.59-2.66
Pt (0.7713, 0.2713, 0.5000)  2 Si 2.45, 4 Ni 2.59-2.66



(2)
DFT (meta-GGA SCAN) results for EuCo9Si2 at its PBEsol-relaxed geometry.

magnetization	4.590	μB per formula unit
final energy	-462.34	eV for the cell shown
formation energy without anion corrections	-141	meV/atom
calculated density	8.66	g/cm3
SG	I4_1/amd

Unit cell a=7.4344 b=7.4344 c=7.4344 alpha=100.02 beta=100.02 gamma=130.69
With the nearest neighbours (Å) after each atom.
Sites, in units of the cell vectors:
Eu (0.3750, 0.6250, 0.7500)  18 Co 2.99-3.10, 4 Si 3.33
Eu (0.6250, 0.3750, 0.2500)  18 Co 2.99-3.10, 4 Si 3.33
Co (0.1250, 0.8750, 0.2500)  4 Si 2.51, 8 Co 2.59
Co (0.1400, 0.5598, 0.3317)  2 Si 2.33-2.34, 7 Co 2.37-2.59
Co (0.1400, 0.8082, 0.5802)  2 Si 2.33-2.34, 7 Co 2.37-2.59
Co (0.1918, 0.2720, 0.3317)  2 Si 2.33-2.34, 7 Co 2.37-2.59
Co (0.1918, 0.8600, 0.9198)  2 Si 2.33-2.34, 7 Co 2.37-2.59
Co (0.2720, 0.1918, 0.8317)  2 Si 2.33-2.34, 7 Co 2.37-2.59
Co (0.2720, 0.4402, 0.0802)  2 Si 2.33-2.34, 7 Co 2.37-2.59
Co (0.4402, 0.2720, 0.5802)  2 Si 2.33-2.34, 7 Co 2.37-2.59
Co (0.4402, 0.8600, 0.1683)  2 Si 2.33-2.34, 7 Co 2.37-2.59
Co (0.5598, 0.1400, 0.8317)  2 Si 2.33-2.34, 7 Co 2.37-2.59
Co (0.5598, 0.7280, 0.4198)  2 Si 2.33-2.34, 7 Co 2.37-2.59
Co (0.7280, 0.5598, 0.9198)  2 Si 2.33-2.34, 7 Co 2.37-2.59
Co (0.7280, 0.8082, 0.1683)  2 Si 2.33-2.34, 7 Co 2.37-2.59
Co (0.8082, 0.1400, 0.0802)  2 Si 2.33-2.34, 7 Co 2.37-2.59
Co (0.8082, 0.7280, 0.6683)  2 Si 2.33-2.34, 7 Co 2.37-2.59
Co (0.8600, 0.1918, 0.4198)  2 Si 2.33-2.34, 7 Co 2.37-2.59
Co (0.8600, 0.4402, 0.6683)  2 Si 2.33-2.34, 7 Co 2.37-2.59
Co (0.8750, 0.1250, 0.7500)  4 Si 2.51, 8 Co 2.59
Si (0.0000, 0.0000, 0.0000)  10 Co 2.33-2.51
Si (0.0000, 0.0000, 0.5000)  10 Co 2.33-2.51
Si (0.0000, 0.5000, 0.0000)  10 Co 2.33-2.51
Si (0.5000, 0.0000, 0.5000)  10 Co 2.33-2.51



(3)
DFT (meta-GGA SCAN) results for TaInSe2N at its PBEsol-relaxed geometry.

magnetization	0.956	μB per formula unit
final energy	-143.31	eV for the cell shown
formation energy without anion corrections	1222	meV/atom
calculated density	7.43	g/cm3
SG	P4/mmm

Unit cell a=5.1696 b=5.1696 c=3.9113 alpha=90.00 beta=90.00 gamma=90.00
With the nearest neighbours (Å) after each atom.
Sites, in units of the cell vectors:
Ta (0.0000, 0.0000, 0.0000)  8 Se 3.24
In (0.5000, 0.5000, 0.5000)  2 N 1.96
Se (0.0000, 0.5000, 0.5000)  2 In 2.58
Se (0.5000, 0.0000, 0.5000)  2 In 2.58
N (0.5000, 0.5000, 0.0000)  2 In 1.96



(4)
DFT (meta-GGA SCAN) results for BaHgSe at its PBEsol-relaxed geometry.

magnetization	0.000	μB per formula unit
final energy	-131.52	eV for the cell shown
formation energy without anion corrections	-1243	meV/atom
calculated density	7.72	g/cm3
SG	I4mm

Unit cell a=5.8720 b=5.8720 c=5.8720 alpha=138.00 beta=138.00 gamma=60.91
With the nearest neighbours (Å) after each atom.
Sites, in units of the cell vectors:
Ba (0.0000, 0.0000, 0.0000)  5 Hg 3.23-3.50, 5 Se 3.36-3.50
Hg (0.3188, 0.3188, 0.0000)  5 Ba 3.23-3.50, 5 Se 3.40-3.41
Se (0.6543, 0.6543, 0.0000)  5 Ba 3.36-3.50, 5 Hg 3.40-3.41



(5)
DFT (meta-GGA SCAN) results for CrCdCo2 at its PBEsol-relaxed geometry.

calculated formation energy	0.47	eV per atom
magnetization	1.037	μB per formula unit
final energy	-81.55	eV for the cell shown
calculated density	9.22	g/cm3
SG	I-4m2

Unit cell a=4.6605 b=4.6605 c=4.6605 alpha=134.41 beta=134.41 gamma=66.44
With the nearest neighbours (Å) after each atom.
Sites, in units of the cell vectors:
Cr (0.0000, 0.0000, 0.0000)  8 Co 2.55-2.66, 4 Cd 2.66
Cd (0.7500, 0.2500, 0.5000)  8 Co 2.55-2.66, 4 Cr 2.66
Co (0.2500, 0.7500, 0.5000)  4 Cd 2.55, 4 Cr 2.66, 4 Co 2.66
Co (0.5000, 0.5000, 0.0000)  4 Cr 2.55, 4 Cd 2.66, 4 Co 2.66



(6)
DFT (meta-GGA SCAN) results for ZrGaRh3 at its PBEsol-relaxed geometry.

calculated formation energy	0.89	eV per atom
magnetization	0.000	μB per formula unit
final energy	-143.90	eV for the cell shown
calculated density	7.62	g/cm3
SG	Pm-3m

Unit cell a=4.6786 b=4.6786 c=4.6786 alpha=90.00 beta=90.00 gamma=90.00
With the nearest neighbours (Å) after each atom.
Sites, in units of the cell vectors:
Zr (0.0000, 0.0000, 0.0000)  6 Rh 2.34
Ga (0.5000, 0.5000, 0.5000)  12 Rh 3.31
Rh (0.0000, 0.0000, 0.5000)  2 Zr 2.34
Rh (0.0000, 0.5000, 0.0000)  2 Zr 2.34
Rh (0.5000, 0.0000, 0.0000)  2 Zr 2.34